# 1
Material: K2AgBiF6
Method: DFT, PBE
State: relaxed

Cell lengths 6.3619, 6.5931, 10.9526 Å; angles 90.00, 124.10, 90.00 degrees
Last column: nearest neighbours and their distance in Å.
Space group P2_1/c (No. 14)
Symmetry-distinct sites (fractional):
K1 0.2264 0.0536 0.2450  5 F 2.68-2.92
Ag1 0.0000 0.0000 0.5000  6 F 2.47-2.53
Bi1 0.5000 0.0000 0.0000  6 F 2.28-2.29
F1 0.1611 0.1911 0.9504  1 Bi 2.28, 1 Ag 2.47
F2 0.2462 0.7199 0.9328  1 Bi 2.29, 1 Ag 2.53
F3 0.3747 0.0529 0.7622  1 Bi 2.28, 1 Ag 2.52

Results
Energy relative to the elements, uncorrected   -2.319 eV per atom
V   380.43 Å³ per cell

***

# 2
Material: LiLa2RhO6
Method: DFT, PBE
State: relaxed

Cell lengths 5.5452, 5.7872, 9.6075 Å; angles 90.00, 125.08, 90.00 degrees
Last column: nearest neighbours and their distance in Å.
Space group P2_1/c (No. 14)
Symmetry-distinct sites (fractional):
Li1 0.0000 0.0000 0.0000  6 O 2.07-2.16
La1 0.2366 0.0614 0.7486  6 O 2.41-2.66
Rh1 0.5000 0.0000 0.5000  6 O 1.99-2.00
O1 0.1627 0.1917 0.4554  1 Rh 2.00, 1 Li 2.15
O2 0.2649 0.7131 0.4528  1 Rh 2.00, 1 Li 2.16
O3 0.3417 0.0246 0.2550  1 Rh 1.99, 1 Li 2.07

Results
Energy relative to the elements, uncorrected   -2.306 eV per atom
V   252.32 Å³ per cell

***

# 3
Material: La8PmEr3
Method: DFT, PBE
State: relaxed

Cell lengths 8.8527, 8.8527, 11.7418 Å; angles 90.00, 90.00, 90.00 degrees
Last column: nearest neighbours and their distance in Å.
Space group I-42m (No. 121)
Symmetry-distinct sites (fractional):
La1 0.1225 0.1225 0.2498  3 La 3.07-3.37, 1 Er 3.31, 1 Pm 3.31
La2 0.2498 0.2498 0.4975  1 Pm 3.13, 1 Er 3.13, 2 La 3.32-3.37
Pm1 0.0000 0.0000 0.5000  8 La 3.13-3.31
Er1 0.0000 0.0000 0.0000  8 La 3.13-3.31
Er2 0.0000 0.5000 0.2500  4 La 3.51

Results
ΔH_f (0 K)   0.518 eV/atom
V   920.21 Å³ per cell

***

# 4
Material: Li4Ir3
Method: DFT, PBE
State: relaxed

Cell lengths 5.1180, 5.1180, 4.7326 Å; angles 90.00, 90.00, 120.00 degrees
Last column: nearest neighbours and their distance in Å.
Space group P6/mmm (No. 191)
Symmetry-distinct sites (fractional):
Li1 0.0000 0.0000 0.2314  1 Li 2.19
Li2 0.3333 0.6667 0.5000  6 Ir 2.79, 3 Li 2.95
Ir1 0.0000 0.5000 0.0000  4 Ir 2.56, 8 Li 2.78-2.79

Results
ΔH_f (0 K)   -0.119 eV/atom
V   107.36 Å³ per cell

***

# 5
Material: K2MgTl3Sn4
Method: DFT, PBE
State: relaxed

Cell lengths 4.8250, 4.8250, 14.1225 Å; angles 90.00, 90.00, 90.00 degrees
Last column: nearest neighbours and their distance in Å.
Space group P-4m2 (No. 115)
Symmetry-distinct sites (fractional):
K1 0.0000 0.5000 0.2409  6 Tl 3.75-4.17, 4 Sn 3.76, 2 Mg 4.17
Mg1 0.5000 0.5000 0.0000  4 Sn 3.03
Tl1 0.0000 0.0000 0.0000  4 Sn 3.03
Tl2 0.0000 0.5000 0.6485  5 Sn 3.14-3.20
Sn1 0.0000 0.0000 0.5000  4 Tl 3.20, 4 Sn 3.41
Sn2 0.0000 0.5000 0.8705  3 Tl 3.03-3.14, 2 Mg 3.03
Sn3 0.5000 0.5000 0.5000  4 Tl 3.20, 4 Sn 3.41

Results
ΔH_f (0 K)   -0.086 eV/atom
V   328.78 Å³ per cell

***

# 6
Material: B5C7
Method: DFT, PBE
State: relaxed

Cell lengths 4.6042, 2.5995, 6.5841 Å; angles 90.00, 94.83, 90.00 degrees
Last column: nearest neighbours and their distance in Å.
Space group Pm (No. 6)
Symmetry-distinct sites (fractional):
B1 0.0000 0.0000 0.0000  3 B 1.76-1.78
B2 0.0634 0.0000 0.7375  3 C 1.58-1.59
B3 0.4274 0.0000 0.1356  3 C 1.56-1.61
B4 0.7508 0.0000 0.4621  3 C 1.64-1.66
B5 0.8588 0.5000 0.1420  2 C 1.56-1.63
C1 0.2436 0.5000 0.6864  2 C 1.53-1.56, 2 B 1.59
C2 0.2454 0.5000 0.4497  4 C 1.53-1.57
C3 0.3998 0.0000 0.3782  2 C 1.57, 2 B 1.61-1.66
C4 0.5286 0.5000 0.0299  1 C 1.55, 3 B 1.56-1.63
C5 0.5506 0.5000 0.7963  4 C 1.53-1.57
C6 0.7201 0.0000 0.7441  2 C 1.57, 1 B 1.58
C7 0.9204 0.5000 0.3781  1 C 1.53, 3 B 1.56-1.64

Results
ΔH_f (0 K)   0.376 eV/atom
V   78.52 Å³ per cell

***

# 7
Material: Sr3Pa3RuN8
Method: DFT, PBE
State: relaxed

Cell lengths 6.9738, 6.9738, 17.8374 Å; angles 90.00, 90.00, 120.00 degrees
Last column: nearest neighbours and their distance in Å.
Space group R-3m (No. 166, hexagonal axes)
Symmetry-distinct sites (fractional):
Sr1 0.0000 0.5000 0.0000  6 N 2.66-2.75
Pa1 0.0000 0.5000 0.5000  6 N 2.30-2.37
Ru1 0.0000 0.0000 0.5000  6 N 2.28
N1 0.0000 0.0000 0.2363  3 Pa 2.37
N2 0.0021 0.5010 0.2279  1 Ru 2.28, 2 Pa 2.30

Results
Energy relative to the elements, uncorrected   -1.041 eV per atom
V   751.29 Å³ per cell

***

# 8
Material: Tb3Th2Ni2
Method: DFT, PBE
State: relaxed

Cell lengths 12.0965, 3.6191, 9.0022 Å; angles 90.00, 114.13, 90.00 degrees
Last column: nearest neighbours and their distance in Å.
Space group C2/m (No. 12)
Symmetry-distinct sites (fractional):
Tb1 0.0000 0.0000 0.0000  4 Ni 2.88
Tb2 0.1152 0.0000 0.4324  3 Ni 2.82-3.08
Th1 0.1724 0.5000 0.8191  2 Ni 2.80
Ni1 0.1697 0.5000 0.2309  2 Th 2.80, 5 Tb 2.82-3.08

Results
ΔH_f (0 K)   -0.244 eV/atom
V   359.66 Å³ per cell

***

# 9
Material: LiSiIr
Method: DFT, PBE
State: relaxed

Cell lengths 3.0285, 3.0285, 8.1757 Å; angles 90.00, 90.00, 90.00 degrees
Last column: nearest neighbours and their distance in Å.
Space group I4mm (No. 107)
Symmetry-distinct sites (fractional):
Li1 0.0000 0.0000 0.0000  5 Si 2.54-2.73, 5 Ir 2.58-2.65
Si1 0.0000 0.0000 0.3333  5 Ir 2.50-2.80, 5 Li 2.54-2.73
Ir1 0.0000 0.0000 0.6757  5 Si 2.50-2.80, 5 Li 2.58-2.65

Results
Energy relative to the elements, uncorrected   -0.526 eV per atom
V   74.99 Å³ per cell

***

# 10
Material: BeC2
Method: DFT, PBE
State: relaxed

Cell lengths 2.4894, 2.4894, 10.7348 Å; angles 90.00, 90.00, 120.00 degrees
Last column: nearest neighbours and their distance in Å.
Space group R-3m (No. 166, hexagonal axes)
Symmetry-distinct sites (fractional):
Be1 0.0000 0.0000 0.0000  8 C 2.05-2.09
C1 0.0000 0.0000 0.1913  3 C 1.53

Results
ΔH_f (0 K)   0.625 eV/atom
V   57.61 Å³ per cell

***

# 11
Material: Na2HOsCl
Method: DFT, PBE
State: relaxed

Cell lengths 5.7127, 5.7127, 3.3590 Å; angles 90.00, 90.00, 90.00 degrees
Last column: nearest neighbours and their distance in Å.
Space group P4/mmm (No. 123)
Symmetry-distinct sites (fractional):
Na1 0.0000 0.5000 0.0000  2 Os 2.86
H1 0.0000 0.0000 0.5000  2 Os 1.68
Os1 0.0000 0.0000 0.0000  2 H 1.68
Cl1 0.5000 0.5000 0.5000  8 Na 3.31, 2 Cl 3.36

Results
V   109.62 Å³ per cell

***

# 12
Material: LiSmAl
Method: DFT, PBE
State: relaxed

Cell lengths 3.4265, 4.3716, 9.7202 Å; angles 90.00, 100.08, 90.00 degrees
Last column: nearest neighbours and their distance in Å.
Space group Pm (No. 6)
Symmetry-distinct sites (fractional):
Li1 0.0000 0.0000 0.0000  2 Al 2.69, 4 Li 2.91
Li2 0.4547 0.5000 0.9092  4 Li 2.91, 2 Al 2.98-2.99
Sm1 0.6556 0.0000 0.3112  8 Al 3.11-3.23, 3 Sm 3.33-3.43, 2 Li 3.43-3.44
Sm2 0.8290 0.0000 0.6590  4 Al 3.25, 1 Li 3.26, 3 Sm 3.33-3.43
Al1 0.0831 0.5000 0.1642  4 Li 2.69-2.99
Al2 0.2419 0.5000 0.4835  1 Al 3.06, 8 Sm 3.23-3.25

Results
ΔH_f (0 K)   -0.127 eV/atom
V   143.36 Å³ per cell

***

# 13
Material: SrOsW2
Method: DFT, PBE
State: relaxed

Cell lengths 9.7597, 3.0662, 6.0413 Å; angles 90.00, 104.15, 90.00 degrees
Last column: nearest neighbours and their distance in Å.
Space group Cm (No. 8)
Symmetry-distinct sites (fractional):
Sr1 0.0000 0.0000 0.0000  2 Sr 3.07, 3 Os 3.30-3.39, 3 W 3.32-3.33
Os1 0.2701 0.5000 0.3392  4 W 2.55-2.59
W1 0.2049 0.0000 0.6354  2 Os 2.55, 2 W 2.60
W2 0.4873 0.0000 0.4840  2 Os 2.59, 2 W 2.60

Results
ΔH_f (0 K)   0.816 eV/atom
V   175.30 Å³ per cell

***

# 14
Material: CsK2AuO
Method: DFT, PBE
State: relaxed

Cell lengths 5.3394, 5.3394, 5.9404 Å; angles 90.00, 90.00, 90.00 degrees
Last column: nearest neighbours and their distance in Å.
Space group P4/mmm (No. 123)
Symmetry-distinct sites (fractional):
Cs1 0.0000 0.0000 0.0000  2 O 2.97
K1 0.0000 0.5000 0.5000  2 O 2.67
Au1 0.5000 0.5000 0.0000  4 Cs 3.78, 8 K 3.99
O1 0.0000 0.0000 0.5000  4 K 2.67, 2 Cs 2.97

Results
Energy relative to the elements, uncorrected   -0.724 eV per atom
V   169.35 Å³ per cell

***

# 15
Material: Ba2NbCu2O6
Method: DFT, PBE
State: relaxed

Cell lengths 6.0123, 6.0123, 16.0985 Å; angles 90.00, 90.00, 120.00 degrees
Last column: nearest neighbours and their distance in Å.
Space group R-3m (No. 166, hexagonal axes)
Symmetry-distinct sites (fractional):
Ba1 0.0000 0.0000 0.2237  9 O 2.83-3.05, 1 Cu 3.16
Nb1 0.0000 0.0000 0.0000  6 O 2.02
Cu1 0.0000 0.0000 0.4203  3 O 1.89
O1 0.0284 0.5142 0.7446  1 Cu 1.89, 1 Nb 2.02

Results
Energy relative to the elements, uncorrected   -1.982 eV per atom
V   503.95 Å³ per cell

***

# 16
Material: YMgP3
Method: DFT, PBE
State: relaxed

Cell lengths 5.2117, 5.2117, 5.2117 Å; angles 90.00, 90.00, 90.00 degrees
Last column: nearest neighbours and their distance in Å.
Space group Pm-3m (No. 221)
Symmetry-distinct sites (fractional):
Y1 0.0000 0.0000 0.0000  6 P 2.61
Mg1 0.5000 0.5000 0.5000  12 P 3.69
P1 0.0000 0.0000 0.5000  2 Y 2.61

Results
ΔH_f (0 K)   0.482 eV/atom
V   141.56 Å³ per cell

***

# 17
Material: TlB2H6
Method: DFT, PBE
State: relaxed

Cell lengths 6.1996, 6.8907, 4.5920 Å; angles 90.00, 99.04, 90.00 degrees
Last column: nearest neighbours and their distance in Å.
Space group C2/m (No. 12)
Symmetry-distinct sites (fractional):
Tl1 0.0000 0.0000 0.0000  2 B 2.55, 12 H 2.68-2.76
B1 0.1411 0.5000 0.6421  3 H 1.22
H1 0.1138 0.3485 0.7670  1 B 1.22
H2 0.2368 0.0000 0.5410  1 B 1.22

Results
V   193.73 Å³ per cell

***

# 18
Material: CuHgOs2
Method: DFT, PBE
State: relaxed

Cell lengths 4.0743, 4.0743, 7.3726 Å; angles 90.00, 90.00, 90.00 degrees
Last column: nearest neighbours and their distance in Å.
Space group I-4m2 (No. 119)
Symmetry-distinct sites (fractional):
Cu1 0.0000 0.0000 0.0000  4 Hg 2.75, 8 Os 2.75-2.88
Hg1 0.0000 0.5000 0.7500  8 Os 2.75-2.88, 4 Cu 2.75
Os1 0.0000 0.0000 0.5000  4 Hg 2.75, 4 Os 2.75, 4 Cu 2.88
Os2 0.0000 0.5000 0.2500  4 Os 2.75, 4 Cu 2.75, 4 Hg 2.88

Results
ΔH_f (0 K)   0.771 eV/atom
V   122.38 Å³ per cell

***

# 19
Material: BaCS
Method: DFT, PBE
State: relaxed

Cell lengths 4.4145, 4.6218, 8.2288 Å; angles 90.00, 97.76, 90.00 degrees
Last column: nearest neighbours and their distance in Å.
Space group Pm (No. 6)
Symmetry-distinct sites (fractional):
Ba1 0.0000 0.0000 0.0000  4 C 2.97-3.22, 5 S 3.00-3.25
Ba2 0.4484 0.5000 0.5366  2 C 3.01-3.27, 4 S 3.27-3.31
C1 0.7089 0.5000 0.1442  1 C 1.26
C2 0.9219 0.5000 0.2629  1 C 1.26
S1 0.4782 0.5000 0.9620  1 C 1.69
S2 0.9664 0.0000 0.6340  5 Ba 3.00-3.31

Results
Energy relative to the elements, uncorrected   -0.757 eV per atom
V   166.35 Å³ per cell

***

# 20
Material: Dy6TmMg
Method: DFT, PBE
State: relaxed

Cell lengths 6.3161, 6.3166, 6.3207 Å; angles 95.71, 95.60, 95.71 degrees
Last column: nearest neighbours and their distance in Å.
Space group P-1 (No. 2)
Symmetry-distinct sites (fractional):
Dy1 0.0163 0.2465 0.4557  4 Dy 3.21-3.38, 1 Tm 3.43, 2 Mg 3.52-3.56
Dy2 0.2536 0.0439 0.9845  4 Dy 3.21-3.38, 1 Tm 3.43, 2 Mg 3.52-3.57
Dy3 0.4559 0.5163 0.7466  4 Dy 3.21-3.38, 1 Tm 3.43, 2 Mg 3.52-3.56
Tm1 0.0000 0.5000 0.0000  12 Dy 3.43-3.66
Mg1 0.5000 0.0000 0.5000  12 Dy 3.52-3.57

Results
ΔH_f (0 K)   0.134 eV/atom
V   248.20 Å³ per cell

***

# 21
Material: BaMgCd2Ga4
Method: DFT, PBE
State: relaxed

Cell lengths 4.7689, 4.7689, 29.3581 Å; angles 90.00, 90.00, 120.00 degrees
Last column: nearest neighbours and their distance in Å.
Space group R-3m (No. 166, hexagonal axes)
Symmetry-distinct sites (fractional):
Ba1 0.0000 0.0000 0.0000  8 Ga 3.42-3.82
Mg1 0.0000 0.0000 0.5000  8 Ga 2.87-2.96
Cd1 0.0000 0.0000 0.2388  7 Ga 2.85-3.19
Ga1 0.0000 0.0000 0.1300  4 Cd 2.94-3.19, 3 Mg 2.96, 3 Ga 3.28
Ga2 0.0000 0.0000 0.4023  3 Cd 2.85, 1 Mg 2.87

Results
ΔH_f (0 K)   -0.182 eV/atom
V   578.23 Å³ per cell

***

# 22
Material: CaPPb2
Method: DFT, PBE
State: relaxed

Cell lengths 4.0588, 4.0588, 7.3206 Å; angles 90.00, 90.00, 90.00 degrees
Last column: nearest neighbours and their distance in Å.
Space group P4mm (No. 99)
Symmetry-distinct sites (fractional):
Ca1 0.0000 0.0000 0.0000  4 P 2.88
P1 0.5000 0.5000 0.0363  1 Pb 2.62, 4 Ca 2.88
Pb1 0.0000 0.0000 0.4582  4 Pb 3.29, 1 Ca 3.35
Pb2 0.5000 0.5000 0.6782  1 P 2.62

Results
ΔH_f (0 K)   -0.319 eV/atom
V   120.60 Å³ per cell

***

# 23
Material: Pm4Co2Hg5
Method: DFT, PBE
State: relaxed

Cell lengths 7.6956, 3.7061, 9.4266 Å; angles 90.00, 94.48, 90.00 degrees
Last column: nearest neighbours and their distance in Å.
Space group P2/m (No. 10)
Symmetry-distinct sites (fractional):
Pm1 0.1779 0.0000 0.3376  2 Co 2.80
Pm2 0.2200 0.0000 0.9351  4 Co 2.90-2.91
Co1 0.0671 0.5000 0.1265  1 Co 2.52, 2 Pm 2.80
Hg1 0.1634 0.5000 0.6437  1 Co 2.90, 1 Hg 3.02, 2 Pm 3.23
Hg2 0.4446 0.5000 0.1668  1 Co 2.90, 1 Hg 3.14
Hg3 0.5000 0.5000 0.5000  4 Hg 3.02-3.14, 4 Pm 3.37

Results
ΔH_f (0 K)   -0.329 eV/atom
V   268.03 Å³ per cell

***

# 24
Material: Tb4CSe2O
Method: DFT, PBE
State: relaxed

Cell lengths 6.4407, 3.7492, 6.8935 Å; angles 90.00, 108.30, 90.00 degrees
Last column: nearest neighbours and their distance in Å.
Space group P2/m (No. 10)
Symmetry-distinct sites (fractional):
Tb1 0.2310 0.0000 0.2031  2 C 2.53, 1 O 2.55
Tb2 0.2580 0.5000 0.7969  1 C 2.49, 2 O 2.56
C1 0.0000 0.5000 0.0000  6 Tb 2.49-2.53
Se1 0.0000 0.0000 0.5000  6 Tb 2.88-2.89
Se2 0.5000 0.5000 0.5000  6 Tb 2.91-2.94
O1 0.5000 0.0000 0.0000  6 Tb 2.55-2.56

Results
Energy relative to the elements, uncorrected   -1.724 eV per atom
V   158.04 Å³ per cell

***

| no. | spin magnetization (μB per formula unit) | final energy (eV/atom) |
| --- | --- | --- |
| 1 | 0.00 | -4.3347 |
| 2 | 2.04 | -7.1931 |
| 3 | 0.00 | -4.3038 |
| 4 | 0.00 | -5.0100 |
| 5 | 0.00 | -2.7764 |
| 6 | 0.00 | -7.7873 |
| 7 | 1.05 | -8.3351 |
| 8 | 0.00 | -5.9997 |
| 9 | 0.00 | -5.9249 |
| 10 | 0.00 | -6.7663 |
| 11 | 2.00 | -3.4473 |
| 12 | 0.00 | -3.5852 |
| 13 | 0.00 | -8.8883 |
| 14 | 0.00 | -2.9810 |
| 15 | 1.08 | -6.6958 |
| 16 | 0.00 | -4.3753 |
| 17 | 0.00 | -3.8988 |
| 18 | 0.00 | -5.9435 |
| 19 | 0.00 | -5.8486 |
| 20 | 0.00 | -4.0758 |
| 21 | 0.00 | -2.3639 |
| 22 | 0.00 | -4.0259 |
| 23 | 0.00 | -3.4857 |
| 24 | 0.00 | -6.6828 |